1.
DFT (SCAN) results for LiTi2VO6 at its PBEsol-relaxed geometry.

Lattice parameters (Å, degrees): 2.939 5.798 6.392 101.80 103.29 90.00
Last column: magnetic moment on the atom in μB.
Atoms (fractional coordinates):
Ti1 0.181 0.295 0.363  0.07
Ti2 0.819 0.705 0.637  0.07
Li1 0.500 0.500 0.000  0.00
O1 0.985 0.764 0.969  -0.01
O2 0.015 0.236 0.031  -0.01
O3 0.330 0.465 0.660  0.00
O4 0.670 0.535 0.340  0.00
O5 0.335 0.920 0.670  0.02
O6 0.665 0.080 0.330  0.02
V1 0.500 0.000 0.000  1.71

As for the raw formation energy: -2.9560 eV per atom. The calculation puts the volume at 103.6 Å³/f.u. The energy above the lowest structure with this stoichiometry comes out at 0 meV/atom.

2.
DFT (SCAN) results for FeSeOF2 at its PBEsol-relaxed geometry.

Lattice parameters (Å, degrees): 3.712 4.473 4.473 90.00 90.00 90.00
Last column: magnetic moment on the atom in μB.
Atoms (fractional coordinates):
O1 0.500 0.000 0.000  0.01
Fe1 0.500 0.500 0.500  3.19
Se1 0.000 0.000 0.000  0.00
F1 0.000 0.000 0.500  0.00
F2 0.000 0.500 0.000  0.00

As for the raw formation energy: -0.3072 eV per atom. The calculation puts the volume at 74.3 Å³/f.u.

3.
DFT (SCAN) results for BaSiNi2 at its PBEsol-relaxed geometry.

Lattice parameters (Å, degrees): 4.702 4.702 4.702 60.00 60.00 60.00
Atoms (fractional coordinates):
Ba1 0.500 0.500 0.500
Ni1 0.000 0.000 0.000
Ni2 0.750 0.750 0.750
Si1 0.250 0.250 0.250

As for the raw formation energy: 0.8459 eV per atom. The calculation puts the volume at 73.5 Å³/f.u.

4.
DFT (SCAN) results for AlIr2Se at its PBEsol-relaxed geometry.

Lattice parameters (Å, degrees): 2.897 4.440 4.937 102.12 90.00 109.04
Atoms (fractional coordinates):
Ir1 0.757 0.514 0.759
Ir2 0.243 0.486 0.241
Al1 0.500 0.000 0.000
Se1 0.000 0.000 0.500

As for the raw formation energy: -0.1412 eV per atom. The calculation puts the volume at 58.5 Å³/f.u. The energy above the lowest structure with this stoichiometry comes out at 24 meV/atom.

5.
DFT (SCAN) results for Cd2NiRh at its PBEsol-relaxed geometry.

Lattice parameters (Å, degrees): 2.891 4.650 5.159 110.30 106.27 90.00
Last column: magnetic moment on the atom in μB.
Atoms (fractional coordinates):
Cd1 0.013 0.053 0.026  -0.01
Cd2 0.233 0.690 0.465  -0.01
Ni1 0.483 0.539 0.965  0.54
Rh1 0.772 0.218 0.544  0.29

For the formation enthalpy at 0 K, the calculation gives 0.03 eV per atom. The calculation puts the volume at 62.1 Å³/f.u.

6.
DFT (SCAN) results for BeSbTe2Pb at its PBEsol-relaxed geometry.

Lattice parameters (Å, degrees): 5.761 5.761 5.704 90.00 90.00 90.00
Last column: magnetic moment on the atom in μB.
Atoms (fractional coordinates):
Pb1 0.000 0.000 0.000  0.00
Sb1 0.000 0.000 0.500  0.26
Te1 0.000 0.500 0.000  0.05
Te2 0.500 0.000 0.000  0.05
Be1 0.500 0.500 0.500  0.01

As for the raw formation energy: 1.2754 eV per atom. The calculation puts the volume at 189.3 Å³/f.u.

7.
DFT (SCAN) results for Li5Cu4 at its PBEsol-relaxed geometry.

Lattice parameters (Å, degrees): 3.786 5.889 5.889 84.07 71.25 71.25
Atoms (fractional coordinates):
Cu1 0.000 0.653 0.347
Cu2 0.000 0.347 0.653
Cu3 0.653 0.347 0.347
Cu4 0.347 0.653 0.653
Li1 0.000 0.000 0.000
Li2 0.675 0.000 0.650
Li3 0.325 0.000 0.350
Li4 0.675 0.650 0.000
Li5 0.325 0.350 0.000

For the formation enthalpy at 0 K, the calculation gives 0.01 eV per atom. The calculation puts the volume at 117.7 Å³/f.u. The energy above the lowest structure with this stoichiometry comes out at 0 meV/atom.

8.
DFT (SCAN) results for Na2Si2Pb at its PBEsol-relaxed geometry.

Lattice parameters (Å, degrees): 4.422 4.422 6.960 108.52 108.52 90.00
Atoms (fractional coordinates):
Pb1 0.000 0.000 0.000
Na1 0.250 0.750 0.500
Na2 0.750 0.250 0.500
Si1 0.412 0.412 0.824
Si2 0.588 0.588 0.176

As for the raw formation energy: 0.1837 eV per atom. The calculation puts the volume at 121.6 Å³/f.u.

The records above yield DFT total energy values of -11.889, -10.611, -19.632, -42.648, -27.665, -37.104, -8.074, -20.665 eV/atom, respectively.